A relaxed SmAlTl crystal, computed with GGA-PBE.

Output
As for the calculated density: 8.20 g/cm³. The density of states at the Fermi level comes out at 1.62 states/eV/f.u. The energy relative to the elements is -0.3042 eV/atom.

Cell: 3.822 17.406 4.648 Å, 90.00 90.00 90.00°
Space group Cmcm (No. 63)
Asymmetric unit:
Sm 0.000 0.103 0.250 x4
Al 0.000 0.459 0.250 x4
Tl 0.000 0.290 0.250 x4

A relaxed Pr2Nb3Ge4 crystal, computed with GGA-PBE.

Output
As for the calculated density: 7.79 g/cm³. The density of states at the Fermi level comes out at 5.10 states/eV/f.u. The energy relative to the elements is -0.6732 eV/atom.

Cell: 7.311 7.309 7.196 Å, 90.00 109.26 90.00°
Space group P2_1/c (No. 14)
Asymmetric unit:
Pr 0.186 0.169 0.059 x4
Nb 0.259 0.671 0.248 x4
Nb 0.500 0.000 0.500 x2
Ge 0.091 0.544 0.866 x4
Ge 0.497 0.131 0.867 x4

Question: What is the formula in the second record?
Answer: Pr2Nb3Ge4